The following is a PBE-GGA calculation of NaTe3Pb2 after structural relaxation, from Alexandria via LeMat-Bulk.

Properties
Symmetry: Imma, No. 74
VASP energy: -3.29 eV/atom

a = 9.174 Å, b = 9.174 Å, c = 9.174 Å
α = 127.30°, β = 84.83°, γ = 118.95°
Element x y z (fractional)
Na 0.261 0.011 0.250
Na 0.739 0.989 0.750
Te 0.000 0.000 0.500
Te 0.000 0.208 0.208
Te 0.000 0.500 0.000
Te 0.000 0.792 0.792
Te 0.500 0.208 0.708
Te 0.500 0.792 0.292
Pb 0.140 0.708 0.431
Pb 0.223 0.292 0.931
Pb 0.777 0.708 0.069
Pb 0.860 0.292 0.569